# PBE PCl2, optimized geometry
# formation energy (no corrections): -222.2 meV/atom
# total DFT energy (no corrections): -3.257 eV/atom
# ρ: 1910 kg/m³
# calculated volume: 29.524 Å³ per atom
# M_tot: 0.00 μB/cell
data_PCl2
_chemical_formula_sum 'P4 Cl8'
_cell_length_a 14.7523
_cell_length_b 3.4460
_cell_length_c 7.5000
_cell_angle_alpha 90.00
_cell_angle_beta 111.69
_cell_angle_gamma 90.00
_symmetry_space_group_name_H-M 'C 1 2/m 1'
_symmetry_Int_Tables_number 12
_symmetry_space_group_name_Hall '-C 2y'
loop_
_atom_site_label
_atom_site_type_symbol
_atom_site_fract_x
_atom_site_fract_y
_atom_site_fract_z
P1 P 0.0211 0.0000 0.1871
Cl1 Cl 0.0951 0.5000 0.8159
Cl2 Cl 0.1447 0.5000 0.2600